Entry 1:
Compound: Sr2POs
Source: Alexandria
Functional: PBE
Structure: relaxed

- Calculated volume: 24.1 A^3/atom
- E: -18.77 eV for the cell shown

Geometry as CIF:
```
data_Sr2POs
_space_group_name_H-M_alt 'P 4/m m m'
_space_group_IT_number 123
_space_group_name_Hall '-P 4 2'
_cell_length_a 3.3523
_cell_length_b 3.3523
_cell_length_c 8.5628
_cell_angle_alpha 90.00
_cell_angle_beta 90.00
_cell_angle_gamma 90.00
loop_
_atom_site_label
_atom_site_fract_x
_atom_site_fract_y
_atom_site_fract_z
_atom_site_occupancy
Sr1 0.0000 0.0000 0.2452 1
P1 0.5000 0.5000 0.0000 1
Os1 0.5000 0.5000 0.5000 1
```

---

Entry 2:
Compound: SrP2Os2
Source: Alexandria
Functional: PBE
Structure: relaxed

- Calculated volume: 18.9 A^3/atom
- E: -76.37 eV for the cell shown

Geometry as CIF:
```
data_SrP2Os2
_space_group_name_H-M_alt 'I 4/m m m'
_space_group_IT_number 139
_space_group_name_Hall '-I 4 2'
_cell_length_a 4.0774
_cell_length_b 4.0774
_cell_length_c 11.3714
_cell_angle_alpha 90.00
_cell_angle_beta 90.00
_cell_angle_gamma 90.00
loop_
_atom_site_label
_atom_site_fract_x
_atom_site_fract_y
_atom_site_fract_z
_atom_site_occupancy
Sr1 0.0000 0.0000 0.0000 1
P1 0.0000 0.0000 0.3518 1
Os1 0.0000 0.5000 0.2500 1
```

---

Entry 3:
Compound: SrPOs2
Source: Alexandria
Functional: PBE
Structure: relaxed

- Calculated volume: 18.3 A^3/atom
- E: -51.24 eV for the cell shown

Geometry as CIF:
```
data_SrPOs2
_space_group_name_H-M_alt 'I 4/m m m'
_space_group_IT_number 139
_space_group_name_Hall '-I 4 2'
_cell_length_a 3.8805
_cell_length_b 3.8805
_cell_length_c 9.7127
_cell_angle_alpha 90.00
_cell_angle_beta 90.00
_cell_angle_gamma 90.00
loop_
_atom_site_label
_atom_site_fract_x
_atom_site_fract_y
_atom_site_fract_z
_atom_site_occupancy
Sr1 0.0000 0.0000 0.0000 1
P1 0.0000 0.0000 0.5000 1
Os1 0.0000 0.5000 0.2500 1
```

---

Entry 4:
Compound: SrP2Os
Source: Alexandria
Functional: PBE
Structure: relaxed

- Calculated volume: 19.8 A^3/atom
- E: -24.82 eV for the cell shown

Geometry as CIF:
```
data_SrP2Os
_space_group_name_H-M_alt 'P m m m'
_space_group_IT_number 47
_cell_length_a 3.3633
_cell_length_b 4.0528
_cell_length_c 5.8214
_cell_angle_alpha 90.00
_cell_angle_beta 90.00
_cell_angle_gamma 90.00
loop_
_space_group_symop_operation_xyz
'x,y,z'
'-x,-y,-z'
'-x,-y,z'
'x,y,-z'
'x,-y,-z'
'-x,y,z'
'-x,y,-z'
'x,-y,z'
loop_
_atom_site_label
_atom_site_fract_x
_atom_site_fract_y
_atom_site_fract_z
_atom_site_occupancy
Sr1 0.0000 0.0000 0.0000 1
P1 0.5000 0.5000 0.2965 1
Os1 0.5000 0.0000 0.5000 1
```

---

> The highest E belongs to which entry?

Sr2POs